Density functional theory data (PBE) for an optimized crystal structure of Er4TmScS8.

Lattice parameters (Å, degrees): 7.910 7.910 7.905 59.98 59.98 60.00
Sites, in units of the cell vectors:
Er  0.625  0.625  0.125
Er  0.003  0.491  0.503
Er  0.491  0.003  0.503
Er  0.003  0.003  0.503
Tm  0.003  0.003  0.991
Sc  0.375  0.375  0.875
S  0.246  0.761  0.748
S  0.761  0.246  0.748
S  0.246  0.246  0.748
S  0.247  0.247  0.260
S  0.759  0.224  0.257
S  0.224  0.759  0.257
S  0.759  0.759  0.257
S  0.758  0.758  0.725

Values from the calculation:
- Uncorrected formation energy: -1.9155 eV per atom
- Total DFT energy (no corrections): -6.35 eV per atom
- Spin magnetization: 0.7 Bohr magnetons per cell
- ρ: 5.41 Mg/m³
- Crystal system: trigonal

=====

Density functional theory data (PBE) for an optimized crystal structure of CsTbSnCl6.

Lattice parameters (Å, degrees): 7.329 7.329 7.555 90.00 90.00 60.00
Sites, in units of the cell vectors:
Cs  0.000  0.000  0.000
Tb  0.333  0.333  0.500
Sn  0.667  0.667  0.500
Cl  0.020  0.368  0.296
Cl  0.368  0.020  0.704
Cl  0.612  0.368  0.704
Cl  0.020  0.613  0.704
Cl  0.368  0.613  0.296
Cl  0.612  0.020  0.296

Values from the calculation:
- Uncorrected formation energy: -1.8433 eV per atom
- Total DFT energy (no corrections): -4.13 eV per atom
- Spin magnetization: 0.0 Bohr magnetons per cell
- ρ: 2.94 Mg/m³
- Crystal system: trigonal

=====

Density functional theory data (PBE) for an optimized crystal structure of TbPm8Sc5.

Lattice parameters (Å, degrees): 8.272 8.407 8.272 114.33 98.19 115.57
Sites, in units of the cell vectors:
Tb  0.087  0.500  0.587
Pm  0.209  0.732  0.087
Pm  0.074  0.200  0.739
Pm  0.652  0.211  0.299
Pm  0.695  0.442  0.930
Pm  0.488  0.558  0.254
Pm  0.539  0.800  0.873
Pm  0.355  0.268  0.476
Pm  0.088  0.789  0.441
Sc  0.963  0.252  0.087
Sc  0.872  0.958  0.260
Sc  0.835  0.748  0.711
Sc  0.592  0.000  0.592
Sc  0.302  0.042  0.914

Values from the calculation:
- Total DFT energy (no corrections): -5.11 eV per atom
- Spin magnetization: 0.0 Bohr magnetons per cell
- ρ: 5.89 Mg/m³
- Crystal system: monoclinic

=====

Density functional theory data (PBE) for an optimized crystal structure of CaTcIN2.

Lattice parameters (Å, degrees): 4.049 4.049 5.488 90.00 90.00 90.00
Sites, in units of the cell vectors:
I  0.000  0.000  0.500
Ca  0.500  0.500  0.500
Tc  0.000  0.000  0.000
N  0.000  0.500  0.000
N  0.500  0.000  0.000

Values from the calculation:
- Uncorrected formation energy: 0.2116 eV per atom
- Total DFT energy (no corrections): -5.90 eV per atom
- Spin magnetization: 0.2 Bohr magnetons per cell
- Energy relative to the lowest polymorph listed for this composition: 0 meV per atom
- ρ: 5.41 Mg/m³
- Crystal system: tetragonal

=====

Density functional theory data (PBE) for an optimized crystal structure of Li2Zn3Cu7.

Lattice parameters (Å, degrees): 4.474 4.473 8.395 101.05 101.07 107.95
Sites, in units of the cell vectors:
Li  0.669  0.668  0.336
Li  0.331  0.332  0.664
Zn  0.500  0.500  0.000
Zn  0.166  0.166  0.331
Zn  0.834  0.834  0.669
Cu  0.750  0.250  0.500
Cu  0.250  0.750  0.500
Cu  0.084  0.583  0.165
Cu  0.000  0.000  0.000
Cu  0.916  0.417  0.835
Cu  0.417  0.917  0.835
Cu  0.583  0.083  0.165

Values from the calculation:
- Total DFT energy (no corrections): -3.13 eV per atom
- Spin magnetization: 0.0 Bohr magnetons per cell
- ρ: 7.20 Mg/m³
- Crystal system: monoclinic

=====

Density functional theory data (PBE) for an optimized crystal structure of Tm4In3Ga.

Lattice parameters (Å, degrees): 3.569 3.569 15.572 90.00 90.00 90.00
Sites, in units of the cell vectors:
Tm  0.000  0.000  0.887
Tm  0.000  0.000  0.113
Tm  0.000  0.000  0.371
Tm  0.000  0.000  0.629
Ga  0.500  0.500  0.000
In  0.500  0.500  0.242
In  0.500  0.500  0.500
In  0.500  0.500  0.758

Values from the calculation:
- Total DFT energy (no corrections): -4.10 eV per atom
- Spin magnetization: 0.0 Bohr magnetons per cell
- Energy relative to the lowest polymorph listed for this composition: 0 meV per atom
- ρ: 9.12 Mg/m³
- Crystal system: tetragonal

=====

Density functional theory data (PBE) for an optimized crystal structure of K2TmZrS4.

Lattice parameters (Å, degrees): 3.862 6.751 7.716 106.69 90.00 90.00
Sites, in units of the cell vectors:
K  0.500  0.000  0.500
K  0.000  0.500  0.500
Tm  0.000  0.000  0.000
Zr  0.500  0.500  0.000
S  0.500  0.241  0.201
S  0.500  0.759  0.799
S  0.000  0.274  0.800
S  0.000  0.726  0.200

Values from the calculation:
- Uncorrected formation energy: -1.6680 eV per atom
- Total DFT energy (no corrections): -5.63 eV per atom
- Spin magnetization: 0.0 Bohr magnetons per cell
- ρ: 4.02 Mg/m³
- Crystal system: monoclinic

=====

Density functional theory data (PBE) for an optimized crystal structure of Y3ZrSc.

Lattice parameters (Å, degrees): 5.502 5.502 5.502 90.00 90.00 90.00
Sites, in units of the cell vectors:
Y  0.000  0.500  0.000
Y  0.000  0.000  0.500
Y  0.500  0.000  0.000
Sc  0.500  0.500  0.500
Zr  0.000  0.000  0.000

Values from the calculation:
- Total DFT energy (no corrections): -6.17 eV per atom
- Spin magnetization: 0.0 Bohr magnetons per cell
- Energy relative to the lowest polymorph listed for this composition: 0 meV per atom
- ρ: 4.02 Mg/m³
- Crystal system: cubic

=====

Density functional theory data (PBE) for an optimized crystal structure of LiNbSbTe2.

Lattice parameters (Å, degrees): 5.473 5.473 5.449 90.00 90.00 90.00
Sites, in units of the cell vectors:
Sb  0.000  0.000  0.500
Nb  0.000  0.000  0.000
Te  0.000  0.500  0.000
Te  0.500  0.000  0.000
Li  0.500  0.500  0.500

Values from the calculation:
- Uncorrected formation energy: 0.0225 eV per atom
- Total DFT energy (no corrections): -4.46 eV per atom
- Spin magnetization: 0.0 Bohr magnetons per cell
- Energy relative to the lowest polymorph listed for this composition: 0 meV per atom
- ρ: 4.85 Mg/m³
- Crystal system: tetragonal

=====

Density functional theory data (PBE) for an optimized crystal structure of CrPbBr2.

Lattice parameters (Å, degrees): 3.534 3.633 9.705 102.73 90.00 90.00
Sites, in units of the cell vectors:
Br  0.000  0.932  0.072
Br  0.000  0.568  0.428
Cr  0.500  0.250  0.250
Pb  0.500  0.750  0.750

Values from the calculation:
- Uncorrected formation energy: -0.2005 eV per atom
- Total DFT energy (no corrections): -4.37 eV per atom
- Spin magnetization: 4.5 Bohr magnetons per cell
- Energy relative to the lowest polymorph listed for this composition: 97 meV per atom
- ρ: 5.72 Mg/m³
- Crystal system: monoclinic

=====

Density functional theory data (PBE) for an optimized crystal structure of Tb2Sc2In3.

Lattice parameters (Å, degrees): 4.687 3.246 11.719 90.00 78.46 90.00
Sites, in units of the cell vectors:
Tb  0.574  0.500  0.851
Tb  0.426  0.500  0.149
Sc  0.711  0.500  0.578
Sc  0.289  0.500  0.422
In  0.842  0.000  0.317
In  0.000  0.000  0.000
In  0.158  0.000  0.683

Values from the calculation:
- Total DFT energy (no corrections): -4.62 eV per atom
- Spin magnetization: 0.7 Bohr magnetons per cell
- ρ: 7.15 Mg/m³
- Crystal system: orthorhombic

=====

Density functional theory data (PBE) for an optimized crystal structure of SrTa2Au.

Lattice parameters (Å, degrees): 2.839 5.264 5.767 90.00 90.00 90.00
Sites, in units of the cell vectors:
Au  0.500  0.500  0.250
Sr  0.500  0.500  0.750
Ta  0.000  0.000  0.004
Ta  0.000  0.000  0.496

Values from the calculation:
- Total DFT energy (no corrections): -6.37 eV per atom
- Spin magnetization: 0.0 Bohr magnetons per cell
- Energy relative to the lowest polymorph listed for this composition: 574 meV per atom
- ρ: 12.46 Mg/m³
- Crystal system: orthorhombic

=====

Density functional theory data (PBE) for an optimized crystal structure of Ca2Mg2In.

Lattice parameters (Å, degrees): 7.659 7.659 5.109 90.00 90.00 90.00
Sites, in units of the cell vectors:
Ca  0.176  0.676  0.500
Ca  0.676  0.824  0.500
Ca  0.824  0.324  0.500
Ca  0.324  0.176  0.500
Mg  0.367  0.867  0.000
Mg  0.867  0.633  0.000
Mg  0.633  0.133  0.000
Mg  0.133  0.367  0.000
In  0.000  0.000  0.000
In  0.500  0.500  0.000

Values from the calculation:
- Total DFT energy (no corrections): -2.12 eV per atom
- Spin magnetization: 0.0 Bohr magnetons per cell
- Energy relative to the lowest polymorph listed for this composition: 0 meV per atom
- ρ: 2.70 Mg/m³
- Crystal system: tetragonal

=====

Density functional theory data (PBE) for an optimized crystal structure of Sc2VRu.

Lattice parameters (Å, degrees): 9.580 9.580 9.580 17.85 17.85 17.85
Sites, in units of the cell vectors:
Sc  0.916  0.916  0.916
Sc  0.084  0.084  0.084
Ru  0.000  0.000  0.000
V  0.500  0.500  0.500

Values from the calculation:
- Total DFT energy (no corrections): -7.39 eV per atom
- Spin magnetization: 0.4 Bohr magnetons per cell
- Energy relative to the lowest polymorph listed for this composition: 528 meV per atom
- ρ: 5.57 Mg/m³
- Crystal system: trigonal

=====

Density functional theory data (PBE) for an optimized crystal structure of DyLu2Tl.

Lattice parameters (Å, degrees): 4.773 4.799 4.799 90.00 90.00 90.00
Sites, in units of the cell vectors:
Tl  0.500  0.000  0.000
Lu  0.000  0.000  0.500
Lu  0.000  0.500  0.000
Dy  0.500  0.500  0.500

Values from the calculation:
- Total DFT energy (no corrections): -4.16 eV per atom
- Spin magnetization: 0.5 Bohr magnetons per cell
- Energy relative to the lowest polymorph listed for this composition: 6 meV per atom
- ρ: 10.83 Mg/m³
- Crystal system: tetragonal

=====

Density functional theory data (PBE) for an optimized crystal structure of CdCoCl2.

Lattice parameters (Å, degrees): 8.548 8.548 8.548 23.82 23.82 23.82
Sites, in units of the cell vectors:
Cl  0.023  0.023  0.023
Cl  0.214  0.214  0.214
Co  0.505  0.505  0.505
Cd  0.758  0.758  0.758

Values from the calculation:
- Uncorrected formation energy: -0.3317 eV per atom
- Total DFT energy (no corrections): -3.26 eV per atom
- Spin magnetization: 1.6 Bohr magnetons per cell
- Energy relative to the lowest polymorph listed for this composition: 24 meV per atom
- ρ: 4.49 Mg/m³
- Crystal system: trigonal

=====

Density functional theory data (PBE) for an optimized crystal structure of NaPaCuN3.

Lattice parameters (Å, degrees): 3.367 5.739 8.949 90.00 90.00 107.06
Sites, in units of the cell vectors:
Na  0.000  0.000  0.500
Na  0.000  0.000  0.000
Pa  0.742  0.484  0.750
Pa  0.258  0.516  0.250
Cu  0.480  0.959  0.750
Cu  0.520  0.041  0.250
N  0.661  0.323  0.380
N  0.339  0.677  0.620
N  0.339  0.677  0.880
N  0.661  0.323  0.120
N  0.095  0.189  0.750
N  0.905  0.811  0.250

Values from the calculation:
- Uncorrected formation energy: -0.3059 eV per atom
- Total DFT energy (no corrections): -6.95 eV per atom
- Spin magnetization: 0.0 Bohr magnetons per cell
- ρ: 7.22 Mg/m³
- Crystal system: orthorhombic

=====

Density functional theory data (PBE) for an optimized crystal structure of RbSb3Cl.

Lattice parameters (Å, degrees): 5.596 5.596 5.596 90.00 90.00 90.00
Sites, in units of the cell vectors:
Sb  0.000  0.500  0.000
Sb  0.000  0.000  0.500
Sb  0.500  0.000  0.000
Rb  0.500  0.500  0.500
Cl  0.000  0.000  0.000

Values from the calculation:
- Uncorrected formation energy: 0.3636 eV per atom
- Total DFT energy (no corrections): -2.67 eV per atom
- Spin magnetization: 0.0 Bohr magnetons per cell
- Energy relative to the lowest polymorph listed for this composition: 0 meV per atom
- ρ: 4.61 Mg/m³
- Crystal system: cubic

=====

Density functional theory data (PBE) for an optimized crystal structure of Cs2GaBr3.

Lattice parameters (Å, degrees): 8.606 8.461 8.461 63.69 83.25 83.25
Sites, in units of the cell vectors:
Cs  0.692  0.171  0.506
Cs  0.192  0.506  0.171
Cs  0.808  0.494  0.829
Cs  0.308  0.829  0.494
Ga  0.750  0.942  0.058
Ga  0.250  0.058  0.942
Br  0.250  0.367  0.633
Br  0.750  0.633  0.367
Br  0.009  0.865  0.808
Br  0.491  0.192  0.135
Br  0.509  0.808  0.865
Br  0.991  0.135  0.192

Values from the calculation:
- Uncorrected formation energy: -1.3260 eV per atom
- Total DFT energy (no corrections): -2.95 eV per atom
- Spin magnetization: 0.0 Bohr magnetons per cell
- ρ: 3.49 Mg/m³
- Crystal system: monoclinic

=====

Density functional theory data (PBE) for an optimized crystal structure of CaLa2Zn.

Lattice parameters (Å, degrees): 3.898 5.570 5.764 90.00 90.00 90.00
Sites, in units of the cell vectors:
Zn  0.500  0.000  0.500
Ca  0.000  0.500  0.500
La  0.000  0.000  0.000
La  0.500  0.500  0.000

Values from the calculation:
- Total DFT energy (no corrections): -3.23 eV per atom
- Spin magnetization: 0.0 Bohr magnetons per cell
- ρ: 5.09 Mg/m³
- Crystal system: orthorhombic